First-principles (PBE) data for a relaxed Ba2PaRh3O12 crystal, as listed in Alexandria.

total moment = 0.00 μB/f.u.
uncorrected formation energy = -1.6208 eV/atom

Cell lengths 7.2600, 7.2600, 7.2600 Å; angles 59.56, 59.56, 59.56 degrees
Element x y z (fractional)
Rh  0.0000  0.5000  0.0000
Rh  0.5000  0.0000  0.0000
Rh  0.0000  0.0000  0.5000
Pa  0.0000  0.0000  0.0000
Ba  0.6138  0.6138  0.6138
Ba  0.3862  0.3862  0.3862
O  0.6329  0.1008  0.1008
O  0.8942  0.3132  0.3132
O  0.6868  0.1058  0.6868
O  0.1008  0.6329  0.1008
O  0.3132  0.3132  0.8942
O  0.8992  0.3671  0.8992
O  0.1008  0.1008  0.6329
O  0.1058  0.6868  0.6868
O  0.3132  0.8942  0.3132
O  0.3671  0.8992  0.8992
O  0.8992  0.8992  0.3671
O  0.6868  0.6868  0.1058